A plane-wave DFT calculation with GGA+U was carried out for a relaxed structure of SmNi2B2O6.

Properties
Its final energy is -6.78 eV/atom. For the density, the calculation gives 4.67 g cm⁻³. Its space group is P-3 (147). The value obtained for the total magnetization is 3.02 μB/cell.

a = 5.1177 Å, b = 5.1177 Å, c = 6.0419 Å
α = 90.00°, β = 90.00°, γ = 120.00°
Last column: nearest neighbours and their distance in Å.
Element x y z (fractional)
Sm 0.0000 0.0000 0.0000  6 O 2.36
Ni 0.3333 0.6667 0.3272  3 O 1.97
Ni 0.6667 0.3333 0.6728  3 O 1.97
B 0.3333 0.6667 0.7620  3 O 1.39
B 0.6667 0.3333 0.2380  3 O 1.39
O 0.0631 0.6682 0.7649  1 B 1.39
O 0.3318 0.3949 0.7649  1 B 1.39
O 0.3949 0.0631 0.2351  1 B 1.39
O 0.6051 0.9369 0.7649  1 B 1.39
O 0.6682 0.6051 0.2351  1 B 1.39
O 0.9369 0.3318 0.2351  1 B 1.39



A plane-wave DFT calculation with GGA+U was carried out for a relaxed structure of SmNiBO4.

Properties
Its final energy is -6.79 eV/atom. For the density, the calculation gives 5.97 g cm⁻³. Its space group is Imma (74). The value obtained for the total magnetization is 4.02 μB/cell.

a = 6.0771 Å, b = 6.0771 Å, c = 6.0771 Å
α = 128.61°, β = 100.16°, γ = 101.51°
Last column: nearest neighbours and their distance in Å.
Element x y z (fractional)
Sm 0.0000 0.0000 0.0000  6 O 2.39-2.40
Sm 0.5000 0.0000 0.5000  6 O 2.39-2.40
Ni 0.5000 0.0000 0.0000  2 O 1.80
Ni 0.5000 0.5000 0.5000  2 O 1.80
B 0.1457 0.3957 0.7500  4 O 1.46-1.54
B 0.8543 0.6043 0.2500  4 O 1.46-1.54
O 0.1137 0.7034 0.4103  1 B 1.46
O 0.2069 0.2966 0.9103  1 B 1.46
O 0.2659 0.2814 0.5156  1 B 1.54
O 0.2659 0.7503 0.9844  1 B 1.54
O 0.7341 0.2497 0.0156  1 B 1.54
O 0.7341 0.7186 0.4844  1 B 1.54
O 0.7931 0.7034 0.0897  1 B 1.46
O 0.8863 0.2966 0.5897  1 B 1.46